(1)
Entry from the Alexandria database: an optimized crystal structure of HgTe2Mo (PBE).

Unit cell a=3.2291 b=3.2291 c=11.1902 alpha=90.00 beta=90.00 gamma=115.48
Last column: nearest neighbours and their distance in Å.
Positions (direct):
Hg: 0.5000 0.5000 0.2500  6 Hg 3.23-3.45
Mo: 0.5000 0.5000 0.7500  4 Te 2.75
Te: 0.0000 0.0000 0.9420  2 Mo 2.75
Te: 0.0000 0.0000 0.5580  2 Mo 2.75

Symmetry ... Cmmm
ΔE_f (raw) ... 0.30 eV/atom

(2)
Entry from the Alexandria database: an optimized crystal structure of HgTe2Mo (PBE).

Unit cell a=5.1859 b=5.1859 c=3.6835 alpha=90.00 beta=90.00 gamma=106.72
Last column: nearest neighbours and their distance in Å.
Positions (direct):
Hg: 0.5000 0.0000 0.5000  2 Mo 3.09, 8 Te 3.18
Mo: 0.0000 0.5000 0.5000  2 Hg 3.09, 8 Te 3.18
Te: 0.0000 0.0000 0.0000  2 Te 3.09, 4 Hg 3.18, 4 Mo 3.18
Te: 0.5000 0.5000 0.0000  2 Te 3.09, 4 Mo 3.18, 4 Hg 3.18

Symmetry ... Cmmm
ΔE_f (raw) ... 0.62 eV/atom

(3)
Entry from the Alexandria database: an optimized crystal structure of HgTeMo (PBE).

Unit cell a=4.6410 b=4.6410 c=4.6410 alpha=60.00 beta=60.00 gamma=60.00
Last column: nearest neighbours and their distance in Å.
Positions (direct):
Hg: 0.5000 0.5000 0.5000  4 Mo 2.84
Mo: 0.7500 0.7500 0.7500  4 Hg 2.84, 4 Te 2.84
Te: 0.0000 0.0000 0.0000  4 Mo 2.84

Symmetry ... F-43m
ΔE_f (raw) ... 0.57 eV/atom
Excess energy over the best structure of this formula in the dataset ... 325 meV/atom

Q: What is the ΔE_f (raw) in the first record?
A: 0.30 eV/atom

Q: Which value of ΔE_f (raw) does entry 3 give?
A: 0.57 eV/atom

Q: The highest ΔE_f (raw) belongs to which entry?
A: number 2